a:
## Y3Cr2 (meta-GGA SCAN)

Data for Y3Cr2 at its PBEsol-relaxed geometry.

Geometry as CIF:
```
data_Y3Cr2
_chemical_formula_sum 'Y9 Cr6'
_cell_length_a 3.3681
_cell_length_b 3.3681
_cell_length_c 36.2109
_cell_angle_alpha 90.00
_cell_angle_beta 90.00
_cell_angle_gamma 120.00
_symmetry_space_group_name_H-M 'R -3 m'
_symmetry_Int_Tables_number 166
_symmetry_space_group_name_Hall '-R 3 2"'
loop_
_atom_site_label
_atom_site_type_symbol
_atom_site_fract_x
_atom_site_fract_y
_atom_site_fract_z
_atom_site_occupancy
Y1 Y 0.0000 0.0000 0.0000 1
Y2 Y 0.0000 0.0000 0.2099 1
Cr1 Cr 0.0000 0.0000 0.3961 1
```

Properties
Crystal system: trigonal
Total magnetic moment (μB per cell): 19.112
DOS(E_F) (states/eV/cell): 14.6

=====

b:
## Y3Cr2 (meta-GGA SCAN)

Data for Y3Cr2 at its PBEsol-relaxed geometry.

Geometry as CIF:
```
data_Y3Cr2
_chemical_formula_sum 'Y3 Cr2'
_cell_length_a 4.8948
_cell_length_b 4.8948
_cell_length_c 6.0469
_cell_angle_alpha 90.00
_cell_angle_beta 90.00
_cell_angle_gamma 120.00
_symmetry_space_group_name_H-M 'P -3 m 1'
_symmetry_Int_Tables_number 164
_symmetry_space_group_name_Hall '-P 3 2"'
loop_
_atom_site_label
_atom_site_type_symbol
_atom_site_fract_x
_atom_site_fract_y
_atom_site_fract_z
_atom_site_occupancy
Y1 Y 0.0000 0.0000 0.0000 1
Y2 Y 0.3333 0.6667 0.3417 1
Cr1 Cr 0.3333 0.6667 0.8590 1
```

Properties
Crystal system: trigonal
Total magnetic moment (μB per cell): 7.525
DOS(E_F) (states/eV/cell): 4.4

=====

Going by the energies, b is most stable and the next is 150 meV per atom up.

=====

a:
## YZr2Cr (meta-GGA SCAN)

Data for YZr2Cr at its PBEsol-relaxed geometry.

Geometry as CIF:
```
data_YZr2Cr
_chemical_formula_sum 'Y2 Zr4 Cr2'
_cell_length_a 3.410
_cell_length_b 4.874
_cell_length_c 10.023
_cell_angle_alpha 90.00
_cell_angle_beta 90.00
_cell_angle_gamma 90.00
_symmetry_space_group_name_H-M 'I m m 2'
_symmetry_Int_Tables_number 44
_symmetry_space_group_name_Hall 'I 2 -2'
loop_
_atom_site_label
_atom_site_type_symbol
_atom_site_fract_x
_atom_site_fract_y
_atom_site_fract_z
_atom_site_occupancy
Y1 Y 0.000 0.000 0.000 1
Zr1 Zr 0.000 0.000 0.580 1
Zr2 Zr 0.000 0.500 0.784 1
Cr1 Cr 0.000 0.500 0.266 1
```

Properties
Crystal system: orthorhombic
Total magnetic moment (μB per cell): 3.776
DOS(E_F) (states/eV/cell): 8.2

=====

b:
## YZr2Cr (meta-GGA SCAN)

Data for YZr2Cr at its PBEsol-relaxed geometry.

Geometry as CIF:
```
data_YZr2Cr
_chemical_formula_sum 'Y1 Zr2 Cr1'
_cell_length_a 3.218
_cell_length_b 4.563
_cell_length_c 6.137
_cell_angle_alpha 90.00
_cell_angle_beta 104.58
_cell_angle_gamma 90.00
_symmetry_space_group_name_H-M 'P 1 m 1'
_symmetry_Int_Tables_number 6
_symmetry_space_group_name_Hall 'P -2y'
loop_
_atom_site_label
_atom_site_type_symbol
_atom_site_fract_x
_atom_site_fract_y
_atom_site_fract_z
_atom_site_occupancy
Y1 Y 0.000 0.000 0.000 1
Zr1 Zr 0.199 0.000 0.529 1
Zr2 Zr 0.629 0.500 0.323 1
Cr1 Cr 0.465 0.500 0.760 1
```

Properties
Crystal system: monoclinic
Total magnetic moment (μB per cell): 2.838
DOS(E_F) (states/eV/cell): 3.8

=====

Going by the energies, b is most stable and the next is 24 meV per atom up.

=====

a:
## ZrZn2Cr (meta-GGA SCAN)

Data for ZrZn2Cr at its PBEsol-relaxed geometry.

Geometry as CIF:
```
data_ZrZn2Cr
_chemical_formula_sum 'Zr4 Zn8 Cr4'
_cell_length_a 6.307
_cell_length_b 6.307
_cell_length_c 6.307
_cell_angle_alpha 90.00
_cell_angle_beta 90.00
_cell_angle_gamma 90.00
_symmetry_space_group_name_H-M 'F m -3 m'
_symmetry_Int_Tables_number 225
_symmetry_space_group_name_Hall '-F 4 2 3'
loop_
_atom_site_label
_atom_site_type_symbol
_atom_site_fract_x
_atom_site_fract_y
_atom_site_fract_z
_atom_site_occupancy
Zr1 Zr 0.000 0.000 0.000 1
Zn1 Zn 0.250 0.250 0.250 1
Cr1 Cr 0.000 0.000 0.500 1
```

Properties
Crystal system: cubic
Total magnetic moment (μB per cell): 14.243
DOS(E_F) (states/eV/cell): 7.4

=====

b:
## ZrZn2Cr (meta-GGA SCAN)

Data for ZrZn2Cr at its PBEsol-relaxed geometry.

Geometry as CIF:
```
data_ZrZn2Cr
_chemical_formula_sum 'Zr1 Zn2 Cr1'
_cell_length_a 2.704
_cell_length_b 3.890
_cell_length_c 5.625
_cell_angle_alpha 90.00
_cell_angle_beta 90.00
_cell_angle_gamma 90.00
_symmetry_space_group_name_H-M 'P m m m'
_symmetry_Int_Tables_number 47
_symmetry_space_group_name_Hall '-P 2 2'
loop_
_atom_site_label
_atom_site_type_symbol
_atom_site_fract_x
_atom_site_fract_y
_atom_site_fract_z
_atom_site_occupancy
Zr1 Zr 0.000 0.000 0.000 1
Zn1 Zn 0.500 0.500 0.282 1
Cr1 Cr 0.000 0.000 0.500 1
```

Properties
Crystal system: orthorhombic
Total magnetic moment (μB per cell): 2.881
DOS(E_F) (states/eV/cell): 2.3

=====

c:
## ZrZn2Cr (meta-GGA SCAN)

Data for ZrZn2Cr at its PBEsol-relaxed geometry.

Geometry as CIF:
```
data_ZrZn2Cr
_chemical_formula_sum 'Zr2 Zn4 Cr2'
_cell_length_a 9.284
_cell_length_b 3.118
_cell_length_c 4.602
_cell_angle_alpha 90.00
_cell_angle_beta 111.42
_cell_angle_gamma 90.00
_symmetry_space_group_name_H-M 'C 1 m 1'
_symmetry_Int_Tables_number 8
_symmetry_space_group_name_Hall 'C -2y'
loop_
_atom_site_label
_atom_site_type_symbol
_atom_site_fract_x
_atom_site_fract_y
_atom_site_fract_z
_atom_site_occupancy
Zr1 Zr 0.000 0.000 0.000 1
Zn1 Zn 0.004 0.500 0.500 1
Zn2 Zn 0.269 0.500 0.333 1
Cr1 Cr 0.244 0.000 0.812 1
```

Properties
Crystal system: monoclinic
Total magnetic moment (μB per cell): 4.655
DOS(E_F) (states/eV/cell): 3.4

=====

Going by the energies, a is most stable and the next is 147 meV per atom up.

=====

a:
## CsCu3I (meta-GGA SCAN)

Data for CsCu3I at its PBEsol-relaxed geometry.

Geometry as CIF:
```
data_CsCu3I
_chemical_formula_sum 'Cs1 Cu3 I1'
_cell_length_a 5.286
_cell_length_b 5.286
_cell_length_c 5.286
_cell_angle_alpha 90.00
_cell_angle_beta 90.00
_cell_angle_gamma 90.00
_symmetry_space_group_name_H-M 'P m -3 m'
_symmetry_Int_Tables_number 221
_symmetry_space_group_name_Hall '-P 4 2 3'
loop_
_atom_site_label
_atom_site_type_symbol
_atom_site_fract_x
_atom_site_fract_y
_atom_site_fract_z
_atom_site_occupancy
Cs1 Cs 0.000 0.000 0.000 1
Cu1 Cu 0.000 0.000 0.500 1
I1 I 0.500 0.500 0.500 1
```

Properties
Crystal system: cubic
Total magnetic moment (μB per cell): 0.000
DOS(E_F) (states/eV/cell): 2.8

=====

b:
## CsCu3I (meta-GGA SCAN)

Data for CsCu3I at its PBEsol-relaxed geometry.

Geometry as CIF:
```
data_CsCu3I
_chemical_formula_sum 'Cs1 Cu3 I1'
_cell_length_a 5.190
_cell_length_b 5.190
_cell_length_c 5.190
_cell_angle_alpha 90.00
_cell_angle_beta 90.00
_cell_angle_gamma 90.00
_symmetry_space_group_name_H-M 'P m -3 m'
_symmetry_Int_Tables_number 221
_symmetry_space_group_name_Hall '-P 4 2 3'
loop_
_atom_site_label
_atom_site_type_symbol
_atom_site_fract_x
_atom_site_fract_y
_atom_site_fract_z
_atom_site_occupancy
Cs1 Cs 0.000 0.000 0.000 1
Cu1 Cu 0.000 0.500 0.500 1
I1 I 0.500 0.500 0.500 1
```

Properties
Crystal system: cubic
Total magnetic moment (μB per cell): 0.000
DOS(E_F) (states/eV/cell): 2.0

=====

Going by the energies, b is most stable and the next is 794 meV per atom up.